<one>
# PmPr5Ho4 PBE relaxed
# Magnetic moment = 0.00 μB/f.u.
# Density = 7.42 Mg/m³
data_PmPr5Ho4
_chemical_formula_sum 'Pm2 Pr10 Ho8'
_space_group_name_H-M_alt 'C 1 2/m 1'
_space_group_IT_number 12
_cell_length_a 18.824
_cell_length_b 3.641
_cell_length_c 10.267
_cell_angle_alpha 90.00
_cell_angle_beta 106.37
_cell_angle_gamma 90.00
loop_
_space_group_symop_operation_xyz
'x,y,z'
'-x,-y,-z'
'-x,y,-z'
'x,-y,z'
'x+1/2,y+1/2,z'
'-x+1/2,-y+1/2,-z'
'-x+1/2,y+1/2,-z'
'x+1/2,-y+1/2,z'
loop_
_atom_site_label
_atom_site_type_symbol
_atom_site_fract_x
_atom_site_fract_y
_atom_site_fract_z
Pm1 Pm 0.000 0.000 0.000
Pr1 Pr 0.000 0.000 0.500
Pr2 Pr 0.101 0.500 0.805
Pr3 Pr 0.200 0.000 0.601
Ho1 Ho 0.101 0.500 0.296
Ho2 Ho 0.200 0.000 0.100

<two>
# PmPr5Ho4 PBE relaxed
# Magnetic moment = 0.00 μB/f.u.
# Density = 7.29 Mg/m³
data_PmPr5Ho4
_chemical_formula_sum 'Pm2 Pr10 Ho8'
_space_group_name_H-M_alt 'I 4'
_space_group_IT_number 79
_cell_length_a 10.383
_cell_length_b 10.383
_cell_length_c 6.374
_cell_angle_alpha 90.00
_cell_angle_beta 90.00
_cell_angle_gamma 90.00
loop_
_space_group_symop_operation_xyz
'x,y,z'
'-y,x,z'
'-x,-y,z'
'y,-x,z'
'x+1/2,y+1/2,z+1/2'
'-y+1/2,x+1/2,z+1/2'
'-x+1/2,-y+1/2,z+1/2'
'y+1/2,-x+1/2,z+1/2'
loop_
_atom_site_label
_atom_site_type_symbol
_atom_site_fract_x
_atom_site_fract_y
_atom_site_fract_z
Pm1 Pm 0.000 0.000 0.000
Pr1 Pr 0.000 0.000 0.541
Pr2 Pr 0.149 0.234 0.271
Ho1 Ho 0.048 0.349 0.772

Name the most stable of them. <one>.

<one>
# Pm4PrHo6 PBE relaxed
# Magnetic moment = 0.00 μB/f.u.
# Density = 7.65 Mg/m³
data_Pm4PrHo6
_chemical_formula_sum 'Pm4 Pr1 Ho6'
_space_group_name_H-M_alt 'P -6 m 2'
_space_group_IT_number 187
_space_group_name_Hall 'P -6 2'
_cell_length_a 11.0109
_cell_length_b 11.0109
_cell_length_c 3.5366
_cell_angle_alpha 90.00
_cell_angle_beta 90.00
_cell_angle_gamma 120.00
loop_
_atom_site_label
_atom_site_type_symbol
_atom_site_fract_x
_atom_site_fract_y
_atom_site_fract_z
Pm1 Pm 0.0000 0.0000 0.0000
Pm2 Pm 0.5315 0.0630 0.5000
Pr1 Pr 0.3333 0.6667 0.0000
Ho1 Ho 0.1624 0.3247 0.5000
Ho2 Ho 0.3256 0.1628 0.0000

<two>
# Pm4PrHo6 PBE relaxed
# Magnetic moment = 0.00 μB/f.u.
# Density = 7.52 Mg/m³
data_Pm4PrHo6
_chemical_formula_sum 'Pm8 Pr2 Ho12'
_space_group_name_H-M_alt 'I -4 2 m'
_space_group_IT_number 121
_space_group_name_Hall 'I -4 2'
_cell_length_a 6.666
_cell_length_b 6.666
_cell_length_c 17.002
_cell_angle_alpha 90.00
_cell_angle_beta 90.00
_cell_angle_gamma 90.00
loop_
_atom_site_label
_atom_site_type_symbol
_atom_site_fract_x
_atom_site_fract_y
_atom_site_fract_z
Pm1 Pm 0.190 0.190 0.324
Pr1 Pr 0.000 0.000 0.500
Ho1 Ho 0.000 0.500 0.000
Ho2 Ho 0.178 0.178 0.126

Name the most stable of them. <one>.

<one>
# Pm2Pr6Ho3 PBE relaxed
# Magnetic moment = 0.00 μB/f.u.
# Density = 6.82 Mg/m³
data_Pm2Pr6Ho3
_chemical_formula_sum 'Pm4 Pr12 Ho6'
_space_group_name_H-M_alt 'I 4/m m m'
_space_group_IT_number 139
_space_group_name_Hall '-I 4 2'
_cell_length_a 4.793
_cell_length_b 4.793
_cell_length_c 34.543
_cell_angle_alpha 90.00
_cell_angle_beta 90.00
_cell_angle_gamma 90.00
loop_
_atom_site_label
_atom_site_type_symbol
_atom_site_fract_x
_atom_site_fract_y
_atom_site_fract_z
Pm1 Pm 0.000 0.000 0.045
Pr1 Pr 0.000 0.000 0.207
Pr2 Pr 0.000 0.500 0.121
Ho1 Ho 0.000 0.000 0.306
Ho2 Ho 0.000 0.000 0.500

<two>
# Pm2Pr6Ho3 PBE relaxed
# Magnetic moment = 0.00 μB/f.u.
# Density = 7.15 Mg/m³
data_Pm2Pr6Ho3
_chemical_formula_sum 'Pm2 Pr6 Ho3'
_space_group_name_H-M_alt 'P -1'
_space_group_IT_number 2
_cell_length_a 6.323
_cell_length_b 8.143
_cell_length_c 8.179
_cell_angle_alpha 107.41
_cell_angle_beta 97.29
_cell_angle_gamma 104.91
loop_
_space_group_symop_operation_xyz
'x,y,z'
'-x,-y,-z'
loop_
_atom_site_label
_atom_site_type_symbol
_atom_site_fract_x
_atom_site_fract_y
_atom_site_fract_z
Pm1 Pm 0.230 0.411 0.048
Pr1 Pr 0.047 0.683 0.409
Pr2 Pr 0.137 0.046 0.232
Pr3 Pr 0.320 0.772 0.865
Ho1 Ho 0.410 0.138 0.681
Ho2 Ho 0.500 0.500 0.500

Name the most stable of them. <two>.

<one>
# Pm3Pr2Ho8 PBE relaxed
# Magnetic moment = 0.00 μB/f.u.
# Density = 7.59 Mg/m³
data_Pm3Pr2Ho8
_chemical_formula_sum 'Pm6 Pr4 Ho16'
_space_group_name_H-M_alt 'C 1 2/m 1'
_space_group_IT_number 12
_cell_length_a 14.701
_cell_length_b 9.197
_cell_length_c 6.959
_cell_angle_alpha 90.00
_cell_angle_beta 108.65
_cell_angle_gamma 90.00
loop_
_space_group_symop_operation_xyz
'x,y,z'
'-x,-y,-z'
'-x,y,-z'
'x,-y,z'
'x+1/2,y+1/2,z'
'-x+1/2,-y+1/2,-z'
'-x+1/2,y+1/2,-z'
'x+1/2,-y+1/2,z'
loop_
_atom_site_label
_atom_site_type_symbol
_atom_site_fract_x
_atom_site_fract_y
_atom_site_fract_z
Pm1 Pm 0.000 0.000 0.000
Pm2 Pm 0.000 0.176 0.500
Pr1 Pr 0.221 0.000 0.420
Ho1 Ho 0.079 0.500 0.733
Ho2 Ho 0.119 0.319 0.172
Ho3 Ho 0.192 0.000 0.894

<two>
# Pm3Pr2Ho8 PBE relaxed
# Magnetic moment = 0.00 μB/f.u.
# Density = 7.61 Mg/m³
data_Pm3Pr2Ho8
_chemical_formula_sum 'Pm3 Pr2 Ho8'
_space_group_name_H-M_alt 'P 1 2/m 1'
_space_group_IT_number 10
_cell_length_a 7.691
_cell_length_b 5.589
_cell_length_c 11.028
_cell_angle_alpha 90.00
_cell_angle_beta 110.33
_cell_angle_gamma 90.00
loop_
_space_group_symop_operation_xyz
'x,y,z'
'-x,-y,-z'
'-x,y,-z'
'x,-y,z'
loop_
_atom_site_label
_atom_site_type_symbol
_atom_site_fract_x
_atom_site_fract_y
_atom_site_fract_z
Pm1 Pm 0.000 0.000 0.000
Pm2 Pm 0.293 0.500 0.000
Pr1 Pr 0.242 0.000 0.482
Ho1 Ho 0.129 0.500 0.259
Ho2 Ho 0.182 0.000 0.785
Ho3 Ho 0.338 0.500 0.674
Ho4 Ho 0.396 0.000 0.215

Name the most stable of them. <one>.

<one>
# Pm4PrHo5 PBE relaxed
# Magnetic moment = 0.00 μB/f.u.
# Density = 7.66 Mg/m³
data_Pm4PrHo5
_chemical_formula_sum 'Pm8 Pr2 Ho10'
_space_group_name_H-M_alt 'I 4'
_space_group_IT_number 79
_cell_length_a 10.333
_cell_length_b 10.333
_cell_length_c 6.276
_cell_angle_alpha 90.00
_cell_angle_beta 90.00
_cell_angle_gamma 90.00
loop_
_space_group_symop_operation_xyz
'x,y,z'
'-y,x,z'
'-x,-y,z'
'y,-x,z'
'x+1/2,y+1/2,z+1/2'
'-y+1/2,x+1/2,z+1/2'
'-x+1/2,-y+1/2,z+1/2'
'y+1/2,-x+1/2,z+1/2'
loop_
_atom_site_label
_atom_site_type_symbol
_atom_site_fract_x
_atom_site_fract_y
_atom_site_fract_z
Pm1 Pm 0.046 0.652 0.000
Pr1 Pr 0.000 0.000 0.766
Ho1 Ho 0.000 0.000 0.227
Ho2 Ho 0.151 0.772 0.494

<two>
# Pm4PrHo5 PBE relaxed
# Magnetic moment = 0.00 μB/f.u.
# Density = 7.83 Mg/m³
data_Pm4PrHo5
_chemical_formula_sum 'Pm8 Pr2 Ho10'
_space_group_name_H-M_alt 'C 1 2/m 1'
_space_group_IT_number 12
_cell_length_a 25.659
_cell_length_b 3.596
_cell_length_c 7.174
_cell_angle_alpha 90.00
_cell_angle_beta 98.02
_cell_angle_gamma 90.00
loop_
_space_group_symop_operation_xyz
'x,y,z'
'-x,-y,-z'
'-x,y,-z'
'x,-y,z'
'x+1/2,y+1/2,z'
'-x+1/2,-y+1/2,-z'
'-x+1/2,y+1/2,-z'
'x+1/2,-y+1/2,z'
loop_
_atom_site_label
_atom_site_type_symbol
_atom_site_fract_x
_atom_site_fract_y
_atom_site_fract_z
Pm1 Pm 0.102 0.000 0.299
Pm2 Pm 0.102 0.000 0.803
Pr1 Pr 0.000 0.500 0.500
Ho1 Ho 0.000 0.500 0.000
Ho2 Ho 0.202 0.500 0.101
Ho3 Ho 0.202 0.500 0.601

Name the most stable of them. <two>.

<one>
# Pm5Pr2Ho PBE relaxed
# Magnetic moment = 0.00 μB/f.u.
# Density = 7.08 Mg/m³
data_Pm5Pr2Ho
_chemical_formula_sum 'Pm10 Pr4 Ho2'
_space_group_name_H-M_alt 'P b a m'
_space_group_IT_number 55
_cell_length_a 7.301
_cell_length_b 14.619
_cell_length_c 5.149
_cell_angle_alpha 90.00
_cell_angle_beta 90.00
_cell_angle_gamma 90.00
loop_
_space_group_symop_operation_xyz
'x,y,z'
'-x,-y,-z'
'-x,-y,z'
'x,y,-z'
'x+1/2,-y+1/2,-z'
'-x+1/2,y+1/2,z'
'-x+1/2,y+1/2,-z'
'x+1/2,-y+1/2,z'
loop_
_atom_site_label
_atom_site_type_symbol
_atom_site_fract_x
_atom_site_fract_y
_atom_site_fract_z
Pm1 Pm 0.000 0.000 0.000
Pm2 Pm 0.001 0.251 0.000
Pm3 Pm 0.249 0.876 0.500
Pr1 Pr 0.249 0.624 0.500
Ho1 Ho 0.000 0.500 0.000

<two>
# Pm5Pr2Ho PBE relaxed
# Magnetic moment = 0.00 μB/f.u.
# Density = 7.01 Mg/m³
data_Pm5Pr2Ho
_chemical_formula_sum 'Pm20 Pr8 Ho4'
_space_group_name_H-M_alt 'C 1 2/c 1'
_space_group_IT_number 15
_cell_length_a 16.596
_cell_length_b 10.190
_cell_length_c 6.699
_cell_angle_alpha 90.00
_cell_angle_beta 101.34
_cell_angle_gamma 90.00
loop_
_space_group_symop_operation_xyz
'x,y,z'
'-x,-y,-z'
'-x,y,-z+1/2'
'x,-y,z+1/2'
'x+1/2,y+1/2,z'
'-x+1/2,-y+1/2,-z'
'-x+1/2,y+1/2,-z+1/2'
'x+1/2,-y+1/2,z+1/2'
loop_
_atom_site_label
_atom_site_type_symbol
_atom_site_fract_x
_atom_site_fract_y
_atom_site_fract_z
Pm1 Pm 0.000 0.064 0.250
Pm2 Pm 0.098 0.410 0.156
Pm3 Pm 0.205 0.084 0.030
Pr1 Pr 0.084 0.258 0.639
Ho1 Ho 0.250 0.250 0.500

Name the most stable of them. <one>.

<one>
# PmPr2Ho4 PBE relaxed
# Magnetic moment = 0.55 μB/f.u.
# Density = 7.29 Mg/m³
data_PmPr2Ho4
_chemical_formula_sum 'Pm4 Pr8 Ho16'
_space_group_name_H-M_alt 'C 1 2/m 1'
_space_group_IT_number 12
_cell_length_a 11.018
_cell_length_b 11.018
_cell_length_c 8.155
_cell_angle_alpha 90.00
_cell_angle_beta 90.10
_cell_angle_gamma 90.00
loop_
_space_group_symop_operation_xyz
'x,y,z'
'-x,-y,-z'
'-x,y,-z'
'x,-y,z'
'x+1/2,y+1/2,z'
'-x+1/2,-y+1/2,-z'
'-x+1/2,y+1/2,-z'
'x+1/2,-y+1/2,z'
loop_
_atom_site_label
_atom_site_type_symbol
_atom_site_fract_x
_atom_site_fract_y
_atom_site_fract_z
Pm1 Pm 0.000 0.000 0.000
Pm2 Pm 0.000 0.000 0.500
Pr1 Pr 0.000 0.500 0.000
Pr2 Pr 0.000 0.500 0.500
Pr3 Pr 0.250 0.250 0.000
Ho1 Ho 0.001 0.249 0.281
Ho2 Ho 0.249 0.000 0.281
Ho3 Ho 0.249 0.000 0.719

<two>
# PmPr2Ho4 PBE relaxed
# Magnetic moment = 0.00 μB/f.u.
# Density = 7.58 Mg/m³
data_PmPr2Ho4
_chemical_formula_sum 'Pm2 Pr4 Ho8'
_space_group_name_H-M_alt 'I 4/m m m'
_space_group_IT_number 139
_space_group_name_Hall '-I 4 2'
_cell_length_a 4.586
_cell_length_b 4.586
_cell_length_c 22.645
_cell_angle_alpha 90.00
_cell_angle_beta 90.00
_cell_angle_gamma 90.00
loop_
_atom_site_label
_atom_site_type_symbol
_atom_site_fract_x
_atom_site_fract_y
_atom_site_fract_z
Pm1 Pm 0.000 0.000 0.000
Pr1 Pr 0.000 0.000 0.402
Ho1 Ho 0.000 0.000 0.140
Ho2 Ho 0.000 0.500 0.250

Name the most stable of them. <two>.

<one>
# Pm12Pr5Ho2 PBE relaxed
# Magnetic moment = 0.00 μB/f.u.
# Density = 6.91 Mg/m³
data_Pm12Pr5Ho2
_chemical_formula_sum 'Pm24 Pr10 Ho4'
_space_group_name_H-M_alt 'C 1 2/m 1'
_space_group_IT_number 12
_cell_length_a 18.853
_cell_length_b 7.236
_cell_length_c 10.519
_cell_angle_alpha 90.00
_cell_angle_beta 111.75
_cell_angle_gamma 90.00
loop_
_space_group_symop_operation_xyz
'x,y,z'
'-x,-y,-z'
'-x,y,-z'
'x,-y,z'
'x+1/2,y+1/2,z'
'-x+1/2,-y+1/2,-z'
'-x+1/2,y+1/2,-z'
'x+1/2,-y+1/2,z'
loop_
_atom_site_label
_atom_site_type_symbol
_atom_site_fract_x
_atom_site_fract_y
_atom_site_fract_z
Pm1 Pm 0.002 0.000 0.320
Pm2 Pm 0.023 0.500 0.240
Pm3 Pm 0.159 0.252 0.866
Pm4 Pm 0.166 0.249 0.519
Pr1 Pr 0.000 0.500 0.500
Pr2 Pr 0.175 0.000 0.208
Pr3 Pr 0.185 0.500 0.183
Ho1 Ho 0.000 0.220 0.000

<two>
# Pm12Pr5Ho2 PBE relaxed
# Magnetic moment = 0.00 μB/f.u.
# Density = 6.99 Mg/m³
data_Pm12Pr5Ho2
_chemical_formula_sum 'Pm24 Pr10 Ho4'
_space_group_name_H-M_alt 'C 1 2/m 1'
_space_group_IT_number 12
_cell_length_a 18.124
_cell_length_b 11.872
_cell_length_c 6.286
_cell_angle_alpha 90.00
_cell_angle_beta 102.88
_cell_angle_gamma 90.00
loop_
_space_group_symop_operation_xyz
'x,y,z'
'-x,-y,-z'
'-x,y,-z'
'x,-y,z'
'x+1/2,y+1/2,z'
'-x+1/2,-y+1/2,-z'
'-x+1/2,y+1/2,-z'
'x+1/2,-y+1/2,z'
loop_
_atom_site_label
_atom_site_type_symbol
_atom_site_fract_x
_atom_site_fract_y
_atom_site_fract_z
Pm1 Pm 0.052 0.000 0.274
Pm2 Pm 0.102 0.246 0.618
Pm3 Pm 0.119 0.500 0.997
Pm4 Pm 0.197 0.246 0.199
Pr1 Pr 0.000 0.500 0.500
Pr2 Pr 0.176 0.000 0.857
Pr3 Pr 0.215 0.500 0.554
Ho1 Ho 0.000 0.270 0.000

Name the most stable of them. <two>.

<one>
# Pm7PrHo12 PBE relaxed
# Magnetic moment = 0.00 μB/f.u.
# Density = 7.24 Mg/m³
data_Pm7PrHo12
_chemical_formula_sum 'Pm14 Pr2 Ho24'
_space_group_name_H-M_alt 'I m -3 m'
_space_group_IT_number 229
_space_group_name_Hall '-I 4 2 3'
_cell_length_a 11.285
_cell_length_b 11.285
_cell_length_c 11.285
_cell_angle_alpha 90.00
_cell_angle_beta 90.00
_cell_angle_gamma 90.00
loop_
_atom_site_label
_atom_site_type_symbol
_atom_site_fract_x
_atom_site_fract_y
_atom_site_fract_z
Pm1 Pm 0.000 0.000 0.500
Pm2 Pm 0.250 0.250 0.250
Pr1 Pr 0.000 0.000 0.000
Ho1 Ho 0.000 0.251 0.251

<two>
# Pm7PrHo12 PBE relaxed
# Magnetic moment = 0.00 μB/f.u.
# Density = 7.90 Mg/m³
data_Pm7PrHo12
_chemical_formula_sum 'Pm21 Pr3 Ho36'
_space_group_name_H-M_alt 'R -3'
_space_group_IT_number 148
_space_group_name_Hall '-R 3'
_cell_length_a 12.8662
_cell_length_b 12.8662
_cell_length_c 13.7897
_cell_angle_alpha 90.00
_cell_angle_beta 90.00
_cell_angle_gamma 120.00
loop_
_atom_site_label
_atom_site_type_symbol
_atom_site_fract_x
_atom_site_fract_y
_atom_site_fract_z
Pm1 Pm 0.0000 0.0000 0.0000
Pm2 Pm 0.0663 0.1995 0.3391
Pr1 Pr 0.0000 0.0000 0.5000
Ho1 Ho 0.0025 0.4326 0.2436
Ho2 Ho 0.0660 0.8606 0.8594

Name the most stable of them. <two>.